# 1
! NbAs2RuBr GGA-PBE optimized geometry; values from VASP
&SYSTEM
  ibrav = 0, nat = 5, ntyp = 4
/
ATOMIC_SPECIES
Ru 101.07 Ru.upf
Nb 92.91 Nb.upf
Br 79.90 Br.upf
As 74.92 As.upf
CELL_PARAMETERS angstrom
4.9948 0.0000 0.0000
0.0000 4.9948 0.0000
0.0000 0.0000 5.1255
ATOMIC_POSITIONS crystal
Ru 0.5000 0.5000 0.5000
Nb 0.0000 0.0000 0.0000
Br 0.0000 0.0000 0.5000
As 0.5000 0.0000 0.0000
As 0.0000 0.5000 0.0000
! Total moment in μB/atom: 0.653
! Relative energy among the computed polymorphs in kJ/mol of formula units: 58

=====

# 2
! BRuAu3 GGA-PBE optimized geometry; values from VASP
&SYSTEM
  ibrav = 0, nat = 5, ntyp = 3
/
ATOMIC_SPECIES
Au 196.97 Au.upf
B 10.81 B.upf
Ru 101.07 Ru.upf
CELL_PARAMETERS angstrom
-3.4688 -1.7429 3.2401
-0.3402 -4.2821 -2.6677
3.6634 -2.0480 2.8202
ATOMIC_POSITIONS crystal
Au 0.0000 0.5000 0.0000
Au 0.0000 0.0000 0.5000
Au 0.5000 0.0000 0.0000
B 0.5000 0.5000 0.5000
Ru 0.0000 0.0000 0.0000
! Formation energy from the elements in eV/f.u.: 9.712
! Total moment in μB/atom: 0.470
! Relative energy among the computed polymorphs in kJ/mol of formula units: 603

=====

# 3
! Pa8Zn GGA-PBE optimized geometry; values from VASP
&SYSTEM
  ibrav = 0, nat = 9, ntyp = 2
/
ATOMIC_SPECIES
Pa 231.04 Pa.upf
Zn 65.41 Zn.upf
CELL_PARAMETERS angstrom
4.2824 0.0000 1.4191
2.1412 6.9039 0.7095
-0.0304 0.0000 7.2630
ATOMIC_POSITIONS crystal
Pa 0.0000 0.3270 0.6730
Pa 0.3385 0.3231 0.0000
Pa 0.3385 0.0000 0.3231
Pa 0.6615 0.0000 0.6769
Pa 0.3270 0.6730 0.6730
Pa 0.6615 0.6769 0.0000
Pa 0.6730 0.3270 0.3270
Pa 0.0000 0.6730 0.3270
Zn 0.0000 0.0000 0.0000
! Formation energy from the elements in eV/f.u.: 0.143
! Total moment in μB/atom: 0.000

=====

# 4
! Cs2NaTlAu2 GGA-PBE optimized geometry; values from VASP
&SYSTEM
  ibrav = 0, nat = 12, ntyp = 4
/
ATOMIC_SPECIES
Au 196.97 Au.upf
Tl 204.38 Tl.upf
Cs 132.91 Cs.upf
Na 22.99 Na.upf
CELL_PARAMETERS angstrom
7.0846 0.0000 0.0000
0.0000 7.5880 0.0000
-3.5423 -3.7940 8.4842
ATOMIC_POSITIONS crystal
Au 0.3338 0.5943 0.1886
Au 0.1452 0.9057 0.8114
Au 0.6662 0.4057 0.8114
Au 0.8548 0.0943 0.1886
Tl 0.0000 0.2500 0.0000
Tl 0.0000 0.7500 0.0000
Cs 0.9209 0.6759 0.3518
Cs 0.0791 0.3241 0.6482
Cs 0.5691 0.8241 0.6482
Cs 0.4309 0.1759 0.3518
Na 0.5000 0.2500 0.0000
Na 0.5000 0.7500 0.0000
! Formation energy from the elements in eV/f.u.: -1.456
! Total moment in μB/atom: 0.000

=====

# 5
! SrCuBi GGA-PBE optimized geometry; values from VASP
&SYSTEM
  ibrav = 0, nat = 6, ntyp = 3
/
ATOMIC_SPECIES
Cu 63.55 Cu.upf
Bi 208.98 Bi.upf
Sr 87.62 Sr.upf
CELL_PARAMETERS angstrom
4.6846 0.0000 0.0000
-2.3423 4.0570 0.0000
0.0000 0.0000 8.9451
ATOMIC_POSITIONS crystal
Cu 0.6667 0.3333 0.7500
Cu 0.3333 0.6667 0.2500
Bi 0.6667 0.3333 0.2500
Bi 0.3333 0.6667 0.7500
Sr 0.0000 0.0000 0.0000
Sr 0.0000 0.0000 0.5000
! Formation energy from the elements in eV/f.u.: -1.582
! Total moment in μB/atom: 0.000

=====

# 6
! PaVIr GGA-PBE optimized geometry; values from VASP
&SYSTEM
  ibrav = 0, nat = 3, ntyp = 3
/
ATOMIC_SPECIES
Pa 231.04 Pa.upf
Ir 192.22 Ir.upf
V 50.94 V.upf
CELL_PARAMETERS angstrom
4.1748 0.0000 0.0000
0.0000 4.0731 0.0000
0.0000 -2.0365 3.5274
ATOMIC_POSITIONS crystal
Pa 0.6747 0.3333 0.6667
Ir 0.0949 0.0000 0.0000
V 0.2305 0.6667 0.3333
! Formation energy from the elements in eV/f.u.: -0.628
! Total moment in μB/atom: 0.000
! Relative energy among the computed polymorphs in kJ/mol of formula units: 3

=====

# 7
! Cs4CeY3Se8 GGA-PBE optimized geometry; values from VASP
&SYSTEM
  ibrav = 0, nat = 16, ntyp = 4
/
ATOMIC_SPECIES
Se 78.96 Se.upf
Y 88.91 Y.upf
Cs 132.91 Cs.upf
Ce 140.12 Ce.upf
CELL_PARAMETERS angstrom
-6.8895 4.4915 -2.6281
-4.7273 -2.4813 8.1519
7.5991 3.9653 1.0382
ATOMIC_POSITIONS crystal
Se 0.7219 0.6869 0.9545
Se 0.2781 0.3131 0.0455
Se 0.2326 0.6869 0.4651
Se 0.7674 0.3131 0.5349
Se 0.7284 0.6850 0.4568
Se 0.7674 0.3131 0.0455
Se 0.2716 0.3150 0.5432
Se 0.2326 0.6869 0.9545
Y 0.0000 0.5000 0.5000
Y 0.5000 0.5000 0.5000
Y 0.5000 0.5000 0.0000
Cs 0.5000 0.0000 0.0000
Cs 0.0000 0.0000 0.5000
Cs 0.5000 0.0000 0.5000
Cs 0.0000 0.0000 0.0000
Ce 0.0000 0.5000 0.0000
! Total DFT energy (no corrections) in eV per cell: -84.066
! Total moment in μB/atom: 0.062

=====

# 8
! Pr2Sm3Tm3 GGA-PBE optimized geometry; values from VASP
&SYSTEM
  ibrav = 0, nat = 8, ntyp = 3
/
ATOMIC_SPECIES
Sm 150.36 Sm.upf
Pr 140.91 Pr.upf
Tm 168.93 Tm.upf
CELL_PARAMETERS angstrom
-3.1933 -1.7585 -3.5471
-2.2488 -2.9656 3.4948
-3.7850 9.8331 2.1795
ATOMIC_POSITIONS crystal
Sm 0.5000 0.0000 0.0000
Sm 0.6220 0.6220 0.2439
Sm 0.3780 0.3780 0.7561
Pr 0.2501 0.7501 0.5002
Pr 0.7499 0.2499 0.4998
Tm 0.8771 0.8771 0.7542
Tm 0.1229 0.1229 0.2458
Tm 0.0000 0.5000 0.0000
! Formation energy from the elements in eV/f.u.: 0.181
! Total moment in μB/atom: 0.000
! Relative energy among the computed polymorphs in kJ/mol of formula units: 0

=====

# 9
! Ho2Ti3Ge4 GGA-PBE optimized geometry; values from VASP
&SYSTEM
  ibrav = 0, nat = 18, ntyp = 3
/
ATOMIC_SPECIES
Ti 47.87 Ti.upf
Ge 72.64 Ge.upf
Ho 164.93 Ho.upf
CELL_PARAMETERS angstrom
6.9876 -0.0600 0.0000
-2.3525 6.7576 0.0000
0.0000 0.0000 7.1391
ATOMIC_POSITIONS crystal
Ti 0.2515 0.7446 0.1716
Ti 0.0000 0.5000 0.5000
Ti 0.7485 0.2554 0.8284
Ti 0.5000 0.5000 0.0000
Ti 0.7515 0.7446 0.3284
Ti 0.2485 0.2554 0.6716
Ge 0.3625 0.4948 0.3666
Ge 0.6411 0.9126 0.0420
Ge 0.1375 0.5052 0.8666
Ge 0.3589 0.0874 0.9580
Ge 0.6375 0.5052 0.6334
Ge 0.8589 0.0874 0.5420
Ge 0.1411 0.9126 0.4580
Ge 0.8625 0.4948 0.1334
Ho 0.4381 0.8116 0.6707
Ho 0.5619 0.1884 0.3293
Ho 0.0619 0.1884 0.1707
Ho 0.9381 0.8116 0.8293
! Formation energy from the elements in eV/f.u.: -7.231
! Total moment in μB/atom: 0.002

=====

# 10
! Ag2Br3 GGA-PBE optimized geometry; values from VASP
&SYSTEM
  ibrav = 0, nat = 5, ntyp = 2
/
ATOMIC_SPECIES
Ag 107.87 Ag.upf
Br 79.90 Br.upf
CELL_PARAMETERS angstrom
2.6196 -4.5373 0.0000
2.6196 4.5373 0.0000
0.0000 0.0000 5.5304
ATOMIC_POSITIONS crystal
Ag 0.6667 0.3333 0.1913
Ag 0.3333 0.6667 0.8087
Br 0.3333 0.6667 0.3130
Br 0.6667 0.3333 0.6870
Br 0.0000 0.0000 0.0000
! Total moment in μB/atom: 0.000
! Relative energy among the computed polymorphs in kJ/mol of formula units: 101

=====

# 11
! Pu3InBr8 GGA-PBE optimized geometry; values from VASP
&SYSTEM
  ibrav = 0, nat = 12, ntyp = 3
/
ATOMIC_SPECIES
Br 79.90 Br.upf
Pu 244.00 Pu.upf
In 114.82 In.upf
CELL_PARAMETERS angstrom
-7.8671 2.2484 3.6701
0.2486 -3.6902 -8.1621
2.0295 -4.3800 7.0338
ATOMIC_POSITIONS crystal
Br 0.2812 0.0193 0.7612
Br 0.2619 0.5238 0.2385
Br 0.7188 0.9807 0.2388
Br 0.2536 0.5073 0.7647
Br 0.2619 0.9807 0.2388
Br 0.7381 0.4762 0.7615
Br 0.7464 0.4927 0.2353
Br 0.7381 0.0193 0.7612
Pu 0.5000 0.0000 0.0000
Pu 0.5000 0.5000 0.0000
Pu 0.0000 0.5000 0.0000
In 0.0000 0.0000 0.0000
! Total DFT energy (no corrections) in eV per cell: -75.458
! Total moment in μB/atom: 1.417

=====

# 12
! EuMg2Ru GGA-PBE optimized geometry; values from VASP
&SYSTEM
  ibrav = 0, nat = 4, ntyp = 3
/
ATOMIC_SPECIES
Mg 24.30 Mg.upf
Ru 101.07 Ru.upf
Eu 151.96 Eu.upf
CELL_PARAMETERS angstrom
-2.2545 1.8160 -1.8408
-2.5720 -1.3229 1.8449
0.5757 5.5952 4.8148
ATOMIC_POSITIONS crystal
Mg 0.0000 0.0000 0.8200
Mg 0.0000 0.0000 0.1800
Ru 0.5000 0.5000 0.0000
Eu 0.5000 0.5000 0.5000
! Formation energy from the elements in eV/f.u.: 0.316
! Total moment in μB/atom: 1.803